ScNb2Os after structural relaxation, computed with PBE.

abc: 4.607 4.607 4.607
angles: 60.00 60.00 60.00
Element x y z (fractional)
Sc  0.000  0.000  0.000
Nb  0.250  0.250  0.250
Nb  0.500  0.500  0.500
Os  0.750  0.750  0.750

Calculated values
- Total magnetization: 0.03 μB per formula unit
- Formation enthalpy at 0 K: -39.0 kJ/mol of formula units